one | This record from the Alexandria database describes Pm3Mg2 after structural relaxation. The functional is PBE-GGA. Values from VASP.

```
&SYSTEM
  ibrav = 0, nat = 10, ntyp = 2
/
ATOMIC_SPECIES
Pm 145.00 Pm.upf
Mg 24.30 Mg.upf
ATOMIC_POSITIONS crystal
Pm 0.000 0.000 0.000
Pm 0.000 0.000 0.189
Pm 0.000 0.000 0.380
Pm 0.000 0.000 0.620
Pm 0.000 0.000 0.811
Pm 0.500 0.500 0.500
Mg 0.500 0.500 0.095
Mg 0.500 0.500 0.284
Mg 0.500 0.500 0.716
Mg 0.500 0.500 0.905
CELL_PARAMETERS angstrom
3.812 0.000 0.000
0.000 3.812 0.000
0.000 0.000 20.694
```

Magnetization: 0.00 μB/f.u.

***

two | This record from the Alexandria database describes Pm3Mg2 after structural relaxation. The functional is PBE-GGA. Values from VASP.

```
&SYSTEM
  ibrav = 0, nat = 15, ntyp = 2
/
ATOMIC_SPECIES
Pm 145.00 Pm.upf
Mg 24.30 Mg.upf
ATOMIC_POSITIONS crystal
Pm 0.000 0.000 0.000
Pm 0.000 0.000 0.214
Pm 0.000 0.000 0.786
Pm 0.333 0.667 0.452
Pm 0.333 0.667 0.667
Pm 0.333 0.667 0.881
Pm 0.667 0.333 0.119
Pm 0.667 0.333 0.333
Pm 0.667 0.333 0.548
Mg 0.000 0.000 0.412
Mg 0.000 0.000 0.588
Mg 0.333 0.667 0.078
Mg 0.333 0.667 0.255
Mg 0.667 0.333 0.745
Mg 0.667 0.333 0.922
CELL_PARAMETERS angstrom
5.528 0.000 0.000
-2.764 4.787 0.000
0.000 0.000 17.122
```

Magnetization: 0.00 μB/f.u.

***

Which of them is the least stable? Correct choice: two.

***

one | This record from the Alexandria database describes Pm3Mg after structural relaxation. The functional is PBE-GGA. Values from VASP.

```
&SYSTEM
  ibrav = 0, nat = 8, ntyp = 2
/
ATOMIC_SPECIES
Pm 145.00 Pm.upf
Mg 24.30 Mg.upf
ATOMIC_POSITIONS crystal
Pm 0.000 0.000 0.000
Pm 0.000 0.233 0.383
Pm 0.000 0.767 0.383
Pm 0.500 0.267 0.883
Pm 0.500 0.500 0.500
Pm 0.500 0.733 0.883
Mg 0.000 0.500 0.013
Mg 0.500 0.000 0.513
CELL_PARAMETERS angstrom
3.715 0.000 0.000
0.000 11.525 0.000
0.000 0.000 5.939
```

Magnetization: 0.00 μB/f.u.

***

two | This record from the Alexandria database describes Pm3Mg after structural relaxation. The functional is PBE-GGA. Values from VASP.

```
&SYSTEM
  ibrav = 0, nat = 4, ntyp = 2
/
ATOMIC_SPECIES
Pm 145.00 Pm.upf
Mg 24.30 Mg.upf
ATOMIC_POSITIONS crystal
Pm 0.000 0.000 0.500
Pm 0.000 0.500 0.000
Pm 0.500 0.000 0.000
Mg 0.500 0.500 0.500
CELL_PARAMETERS angstrom
5.013 0.000 0.000
0.000 5.013 0.000
0.000 0.000 5.013
```

Magnetization: 0.00 μB/f.u.

***

Which of them is the least stable? Correct choice: two.

***

one | This record from the Alexandria database describes Pm3Mg after structural relaxation. The functional is PBE-GGA. Values from VASP.

```
&SYSTEM
  ibrav = 0, nat = 4, ntyp = 2
/
ATOMIC_SPECIES
Pm 145.00 Pm.upf
Mg 24.30 Mg.upf
ATOMIC_POSITIONS crystal
Pm 0.000 0.000 0.000
Pm 0.000 0.500 0.478
Pm 0.500 0.500 0.762
Mg 0.500 0.000 0.263
CELL_PARAMETERS angstrom
3.454 0.000 0.000
0.000 3.455 0.000
0.000 0.000 11.079
```

Magnetization: 0.00 μB/f.u.

***

two | This record from the Alexandria database describes Pm3Mg after structural relaxation. The functional is PBE-GGA. Values from VASP.

```
&SYSTEM
  ibrav = 0, nat = 16, ntyp = 2
/
ATOMIC_SPECIES
Pm 145.00 Pm.upf
Mg 24.30 Mg.upf
ATOMIC_POSITIONS crystal
Pm 0.000 0.000 0.000
Pm 0.000 0.500 0.500
Pm 0.250 0.250 0.250
Pm 0.250 0.250 0.750
Pm 0.250 0.750 0.250
Pm 0.250 0.750 0.750
Pm 0.500 0.000 0.500
Pm 0.500 0.500 0.000
Pm 0.750 0.250 0.250
Pm 0.750 0.250 0.750
Pm 0.750 0.750 0.250
Pm 0.750 0.750 0.750
Mg 0.000 0.000 0.500
Mg 0.000 0.500 0.000
Mg 0.500 0.000 0.000
Mg 0.500 0.500 0.500
CELL_PARAMETERS angstrom
7.970 0.000 0.000
0.000 7.970 0.000
0.000 0.000 7.970
```

Magnetization: 0.00 μB/f.u.

***

Which of them is the least stable? Correct choice: one.

***

one | This record from the Alexandria database describes PmMg2 after structural relaxation. The functional is PBE-GGA. Values from VASP.

```
&SYSTEM
  ibrav = 0, nat = 6, ntyp = 2
/
ATOMIC_SPECIES
Pm 145.00 Pm.upf
Mg 24.30 Mg.upf
ATOMIC_POSITIONS crystal
Pm 0.125 0.125 0.125
Pm 0.875 0.875 0.875
Mg 0.000 0.500 0.500
Mg 0.500 0.000 0.500
Mg 0.500 0.500 0.000
Mg 0.500 0.500 0.500
CELL_PARAMETERS angstrom
0.000 4.323 4.323
4.323 0.000 4.323
4.323 4.323 0.000
```

Magnetization: 0.00 μB/f.u.

***

two | This record from the Alexandria database describes PmMg2 after structural relaxation. The functional is PBE-GGA. Values from VASP.

```
&SYSTEM
  ibrav = 0, nat = 6, ntyp = 2
/
ATOMIC_SPECIES
Pm 145.00 Pm.upf
Mg 24.30 Mg.upf
ATOMIC_POSITIONS crystal
Pm 0.000 0.000 0.000
Pm 0.500 0.500 0.500
Mg 0.000 0.000 0.323
Mg 0.000 0.000 0.677
Mg 0.500 0.500 0.177
Mg 0.500 0.500 0.823
CELL_PARAMETERS angstrom
3.470 0.000 0.000
0.000 3.470 0.000
0.000 0.000 13.432
```

Magnetization: 0.00 μB/f.u.

***

Which of them is the least stable? Correct choice: two.